## Cr2CoP (PBE-GGA)

Data for a geometry-optimized Cr2CoP structure.

magnetic moment	0.3	μB/cell
V	12.01	A^3/atom
E	-61.43	eV/cell

a b c (Å): 6.337 6.337 5.080
angles (deg): 51.41 51.41 90.00
Last column: magnetic moment on the atom in μB.
Fractional positions:
P1 0.500 0.500 0.000  0.00
P2 0.250 0.750 0.500  0.00
Cr1 0.130 0.625 0.250  0.09
Cr2 0.620 0.125 0.250  0.09
Cr3 0.375 0.380 0.750  0.09
Cr4 0.875 0.870 0.750  0.09
Co1 0.750 0.250 0.500  -0.03
Co2 0.000 0.000 0.000  -0.03

***

## TaSnIr3 (PBE-GGA)

Data for a geometry-optimized TaSnIr3 structure.

magnetic moment	0.0	μB/cell
excess energy over the best structure of this formula in the dataset	648.7	meV/atom
V	21.45	A^3/atom
E	-33.11	eV/cell

a b c (Å): 4.751 4.751 4.751
angles (deg): 90.00 90.00 90.00
Fractional positions:
Ir1 0.000 0.000 0.500
Ir2 0.000 0.500 0.000
Ir3 0.500 0.000 0.000
Ta1 0.500 0.500 0.500
Sn1 0.000 0.000 0.000

***

## PrGdDyZr (PBE-GGA)

Data for a geometry-optimized PrGdDyZr structure.

magnetic moment	8.8	μB/cell
V	30.22	A^3/atom
E	-31.18	eV/cell

a b c (Å): 5.550 5.550 5.550
angles (deg): 60.00 60.00 60.00
Last column: magnetic moment on the atom in μB.
Fractional positions:
Pr1 0.500 0.500 0.500  0.06
Zr1 0.250 0.250 0.250  0.62
Dy1 0.750 0.750 0.750  0.03
Gd1 0.000 0.000 0.000  7.30

***

## ZrCd2Hg (PBE-GGA)

Data for a geometry-optimized ZrCd2Hg structure.

magnetic moment	0.0	μB/cell
V	22.22	A^3/atom
E	-10.73	eV/cell

a b c (Å): 5.163 5.163 5.803
angles (deg): 81.01 81.01 35.62
Fractional positions:
Zr1 0.750 0.750 0.741
Hg1 0.500 0.500 0.509
Cd1 0.250 0.250 0.241
Cd2 0.999 0.999 0.009

***

## RbNa2LiGa (PBE-GGA)

Data for a geometry-optimized RbNa2LiGa structure.

magnetic moment	0.0	μB/cell
V	37.57	A^3/atom
E	-8.25	eV/cell

a b c (Å): 5.891 5.891 5.413
angles (deg): 90.00 90.00 90.00
Fractional positions:
Rb1 0.500 0.500 0.500
Li1 0.000 0.000 0.500
Na1 0.000 0.500 0.000
Na2 0.500 0.000 0.000
Ga1 0.000 0.000 0.000

***

## CrTe4Au (PBE-GGA)

Data for a geometry-optimized CrTe4Au structure.

formation energy (no corrections)	0.77	eV per atom
magnetic moment	4.0	μB/cell
excess energy over the best structure of this formula in the dataset	911.8	meV/atom
V	29.06	A^3/atom
E	-20.86	eV/cell

a b c (Å): 6.270 6.270 6.270
angles (deg): 60.00 60.00 60.00
Last column: magnetic moment on the atom in μB.
Fractional positions:
Te1 0.873 0.376 0.376  -0.10
Te2 0.376 0.376 0.873  -0.10
Te3 0.376 0.873 0.376  -0.10
Te4 0.376 0.376 0.376  -0.10
Cr1 0.000 0.000 0.000  4.16
Au1 0.750 0.750 0.750  -0.07

***

## ZnCuPt2 (PBE-GGA)

Data for a geometry-optimized ZnCuPt2 structure.

magnetic moment	0.0	μB/cell
V	14.49	A^3/atom
E	-18.55	eV/cell

a b c (Å): 4.779 4.779 4.779
angles (deg): 132.64 132.64 69.22
Fractional positions:
Pt1 0.000 0.000 0.000
Pt2 0.250 0.750 0.500
Zn1 0.500 0.500 0.000
Cu1 0.750 0.250 0.500

***

## HfAl3Os (PBE-GGA)

Data for a geometry-optimized HfAl3Os structure.

magnetic moment	1.9	μB/cell
excess energy over the best structure of this formula in the dataset	1655.8	meV/atom
V	24.70	A^3/atom
E	-22.66	eV/cell

a b c (Å): 4.980 4.980 4.980
angles (deg): 90.00 90.00 90.00
Last column: magnetic moment on the atom in μB.
Fractional positions:
Al1 0.500 0.000 0.000  0.00
Al2 0.000 0.500 0.000  -0.02
Al3 0.000 0.000 0.500  -0.02
Os1 0.500 0.500 0.500  2.07
Hf1 0.000 0.000 0.000  -0.14

***

Copy entry 1 word for word.
## Cr2CoP (PBE-GGA)

Data for a geometry-optimized Cr2CoP structure.

magnetic moment	0.3	μB/cell
V	12.01	A^3/atom
E	-61.43	eV/cell

a b c (Å): 6.337 6.337 5.080
angles (deg): 51.41 51.41 90.00
Last column: magnetic moment on the atom in μB.
Fractional positions:
P1 0.500 0.500 0.000  0.00
P2 0.250 0.750 0.500  0.00
Cr1 0.130 0.625 0.250  0.09
Cr2 0.620 0.125 0.250  0.09
Cr3 0.375 0.380 0.750  0.09
Cr4 0.875 0.870 0.750  0.09
Co1 0.750 0.250 0.500  -0.03
Co2 0.000 0.000 0.000  -0.03

***

The lowest V belongs to which entry? Cr2CoP